# 1
A geometry-optimized LiNd2Ga2Pd5 structure. Source: Alexandria via LeMat-Bulk, functional PBE.

a = 10.0474 Å, b = 10.0474 Å, c = 3.7453 Å
α = 90.00°, β = 90.00°, γ = 90.00°
Last column: nearest neighbours and their distance in Å.
Space group P4/mbm (No. 127)
One atom of each set of equivalent atoms:
Li 0.0000 0.0000 0.0000 [2 per cell]  8 Pd 2.88
Nd 0.1776 0.3224 0.0000 [4 per cell]  3 Ga 2.86-3.05, 2 Pd 3.14
Ga 0.1210 0.6210 0.0000 [4 per cell]  6 Pd 2.54-2.61
Pd 0.0000 0.5000 0.5000 [2 per cell]  4 Ga 2.54
Pd 0.0627 0.7916 0.5000 [8 per cell]  2 Ga 2.61, 2 Li 2.88

Output
Electronic total energy, eV/atom: -4.98
Crystal system: tetragonal
E_form, eV/atom: -0.632
DOS(E_F), states/eV/cell: 11.8

=====

# 2
A geometry-optimized Li2PmNd2Ga2 structure. Source: Alexandria via LeMat-Bulk, functional PBE.

a = 4.7018 Å, b = 4.7018 Å, c = 26.6981 Å
α = 90.00°, β = 90.00°, γ = 120.00°
Last column: nearest neighbours and their distance in Å.
Space group R-3m (No. 166, hexagonal axes)
One atom of each set of equivalent atoms:
Li 0.0000 0.0000 0.1062 [6 per cell]  3 Ga 2.73
Pm 0.0000 0.0000 0.5000 [3 per cell]  6 Li 3.16, 6 Ga 3.29, 2 Nd 3.37
Nd 0.0000 0.0000 0.3737 [6 per cell]  3 Ga 3.11, 3 Li 3.23, 1 Pm 3.37, 3 Nd 3.46
Ga 0.0000 0.0000 0.2363 [6 per cell]  3 Li 2.73

Output
Electronic total energy, eV/atom: -3.74
Crystal system: trigonal
E_form, eV/atom: -0.289
DOS(E_F), states/eV/cell: 17.2